(1)
# Ho4Al3Cu | the Alexandria database | PBE-GGA | relaxed
# Total magnetic moment (μB/f.u.): 0.000
# Symmetry: P4/mmm
# Fermi-level density of states (states/eV/f.u.): 4.16
# E_form (eV per formula unit): -2.9
data_Ho4Al3Cu
_space_group_name_H-M_alt 'P 1'
_space_group_IT_number 1
_cell_length_a 3.4170
_cell_length_b 3.4170
_cell_length_c 15.4006
_cell_angle_alpha 90.00
_cell_angle_beta 90.00
_cell_angle_gamma 90.00
loop_
_space_group_symop_operation_xyz
'x,y,z'
loop_
_atom_site_label
_atom_site_fract_x
_atom_site_fract_y
_atom_site_fract_z
Al1 0.5000 0.5000 0.5000
Al2 0.5000 0.5000 0.7588
Al3 0.5000 0.5000 0.2412
Cu1 0.5000 0.5000 0.0000
Ho1 0.0000 0.0000 0.8864
Ho2 0.0000 0.0000 0.3708
Ho3 0.0000 0.0000 0.6292
Ho4 0.0000 0.0000 0.1136

(2)
# HoAlCuIr | the Alexandria database | PBE-GGA | relaxed
# Total magnetic moment (μB/f.u.): 0.000
# Symmetry: F-43m
# Fermi-level density of states (states/eV/f.u.): 2.58
# E_form (eV per formula unit): -2.1
data_HoAlCuIr
_space_group_name_H-M_alt 'P 1'
_space_group_IT_number 1
_cell_length_a 4.5769
_cell_length_b 4.5769
_cell_length_c 4.5769
_cell_angle_alpha 60.00
_cell_angle_beta 60.00
_cell_angle_gamma 60.00
loop_
_space_group_symop_operation_xyz
'x,y,z'
loop_
_atom_site_label
_atom_site_fract_x
_atom_site_fract_y
_atom_site_fract_z
Cu1 0.5000 0.5000 0.5000
Ir1 0.0000 0.0000 0.0000
Al1 0.7500 0.7500 0.7500
Ho1 0.2500 0.2500 0.2500

(3)
# LaHoAlCu | the Alexandria database | PBE-GGA | relaxed
# Total magnetic moment (μB/f.u.): 0.002
# Symmetry: F-43m
# Fermi-level density of states (states/eV/f.u.): 4.20
# E_form (eV per formula unit): -0.9
data_LaHoAlCu
_space_group_name_H-M_alt 'P 1'
_space_group_IT_number 1
_cell_length_a 5.1720
_cell_length_b 5.1720
_cell_length_c 5.1720
_cell_angle_alpha 60.00
_cell_angle_beta 60.00
_cell_angle_gamma 60.00
loop_
_space_group_symop_operation_xyz
'x,y,z'
loop_
_atom_site_label
_atom_site_fract_x
_atom_site_fract_y
_atom_site_fract_z
Ho1 0.0000 0.0000 0.0000
Al1 0.2500 0.2500 0.2500
Cu1 0.7500 0.7500 0.7500
La1 0.5000 0.5000 0.5000

- The lowest Fermi-level density of states belongs to which entry?
  HoAlCuIr

What did the first record say?
# Ho4Al3Cu | the Alexandria database | PBE-GGA | relaxed
# Total magnetic moment (μB/f.u.): 0.000
# Symmetry: P4/mmm
# Fermi-level density of states (states/eV/f.u.): 4.16
# E_form (eV per formula unit): -2.9
data_Ho4Al3Cu
_space_group_name_H-M_alt 'P 1'
_space_group_IT_number 1
_cell_length_a 3.4170
_cell_length_b 3.4170
_cell_length_c 15.4006
_cell_angle_alpha 90.00
_cell_angle_beta 90.00
_cell_angle_gamma 90.00
loop_
_space_group_symop_operation_xyz
'x,y,z'
loop_
_atom_site_label
_atom_site_fract_x
_atom_site_fract_y
_atom_site_fract_z
Al1 0.5000 0.5000 0.5000
Al2 0.5000 0.5000 0.7588
Al3 0.5000 0.5000 0.2412
Cu1 0.5000 0.5000 0.0000
Ho1 0.0000 0.0000 0.8864
Ho2 0.0000 0.0000 0.3708
Ho3 0.0000 0.0000 0.6292
Ho4 0.0000 0.0000 0.1136